1.
A plane-wave DFT calculation with PBE was carried out for a relaxed LuAlSn crystal.

Values from the calculation:
Energy of formation from the pure elements = -0.232 eV per atom
Calculated volume = 23.2 A^3/atom

Structure (CIF):
```
data_LuAlSn
_cell_length_a 5.9778
_cell_length_b 5.9778
_cell_length_c 5.9778
_cell_angle_alpha 145.06
_cell_angle_beta 145.06
_cell_angle_gamma 50.24
_symmetry_space_group_name_H-M 'P 1'
_symmetry_Int_Tables_number 1
loop_
_symmetry_equiv_pos_as_xyz
'x,y,z'
loop_
_atom_site_label
_atom_site_type_symbol
_atom_site_fract_x
_atom_site_fract_y
_atom_site_fract_z
_atom_site_occupancy
Lu1 Lu 0.0000 0.0000 0.0000 1
Al1 Al 0.3283 0.3283 0.0000 1
Sn1 Sn 0.6907 0.6907 0.0000 1
```


2.
A plane-wave DFT calculation with PBE was carried out for a relaxed Ag6BrF5 crystal.

Values from the calculation:
Calculated volume = 16.7 A^3/atom
ΔE_f (raw) = -0.860 eV per atom

Structure (CIF):
```
data_Ag6BrF5
_cell_length_a 5.8171
_cell_length_b 6.3615
_cell_length_c 6.5711
_cell_angle_alpha 80.60
_cell_angle_beta 67.68
_cell_angle_gamma 63.28
_symmetry_space_group_name_H-M 'P 1'
_symmetry_Int_Tables_number 1
loop_
_symmetry_equiv_pos_as_xyz
'x,y,z'
loop_
_atom_site_label
_atom_site_type_symbol
_atom_site_fract_x
_atom_site_fract_y
_atom_site_fract_z
_atom_site_occupancy
Ag1 Ag 0.0580 0.3681 0.2615 1
Ag2 Ag 0.2132 0.0048 0.7448 1
Ag3 Ag 0.3837 0.6420 0.2663 1
Ag4 Ag 0.6163 0.3580 0.7337 1
Ag5 Ag 0.7868 0.9952 0.2552 1
Ag6 Ag 0.9420 0.6319 0.7385 1
Br1 Br 0.5000 0.0000 0.0000 1
F1 F 0.0000 0.0000 0.5000 1
F2 F 0.1821 0.6570 0.9743 1
F3 F 0.3406 0.3207 0.5132 1
F4 F 0.6594 0.6793 0.4868 1
F5 F 0.8179 0.3430 0.0257 1
```


3.
A plane-wave DFT calculation with PBE was carried out for a relaxed Sc2SnPd2 crystal.

Values from the calculation:
Energy of formation from the pure elements = -0.528 eV per atom
Calculated volume = 21.3 A^3/atom

Structure (CIF):
```
data_Sc2SnPd2
_cell_length_a 7.8747
_cell_length_b 7.8747
_cell_length_c 7.8747
_cell_angle_alpha 152.16
_cell_angle_beta 152.16
_cell_angle_gamma 39.78
_symmetry_space_group_name_H-M 'P 1'
_symmetry_Int_Tables_number 1
loop_
_symmetry_equiv_pos_as_xyz
'x,y,z'
loop_
_atom_site_label
_atom_site_type_symbol
_atom_site_fract_x
_atom_site_fract_y
_atom_site_fract_z
_atom_site_occupancy
Sc1 Sc 0.1164 0.1164 0.0000 1
Sc2 Sc 0.8836 0.8836 0.0000 1
Sn1 Sn 0.5000 0.5000 0.0000 1
Pd1 Pd 0.2500 0.7500 0.5000 1
Pd2 Pd 0.7500 0.2500 0.5000 1
```


4.
A plane-wave DFT calculation with PBE was carried out for a relaxed NdCd2InGa crystal.

Values from the calculation:
Energy of formation from the pure elements = -0.148 eV per atom
Calculated volume = 26.7 A^3/atom

Structure (CIF):
```
data_NdCd2InGa
_cell_length_a 8.3989
_cell_length_b 8.3989
_cell_length_c 7.6497
_cell_angle_alpha 90.00
_cell_angle_beta 90.00
_cell_angle_gamma 150.38
_symmetry_space_group_name_H-M 'P 1'
_symmetry_Int_Tables_number 1
loop_
_symmetry_equiv_pos_as_xyz
'x,y,z'
loop_
_atom_site_label
_atom_site_type_symbol
_atom_site_fract_x
_atom_site_fract_y
_atom_site_fract_z
_atom_site_occupancy
Nd1 Nd 0.1108 0.8892 0.7500 1
Nd2 Nd 0.8892 0.1108 0.2500 1
Cd1 Cd 0.3225 0.6775 0.5579 1
Cd2 Cd 0.3225 0.6775 0.9420 1
Cd3 Cd 0.6775 0.3225 0.0580 1
Cd4 Cd 0.6775 0.3225 0.4420 1
In1 In 0.5000 0.5000 0.0000 1
In2 In 0.5000 0.5000 0.5000 1
Ga1 Ga 0.2354 0.7646 0.2500 1
Ga2 Ga 0.7646 0.2354 0.7500 1
```


5.
A plane-wave DFT calculation with PBE was carried out for a relaxed Ta2Cr2P crystal.

Values from the calculation:
Energy of formation from the pure elements = -0.071 eV per atom
Calculated volume = 14.7 A^3/atom

Structure (CIF):
```
data_Ta2Cr2P
_cell_length_a 5.7486
_cell_length_b 5.7486
_cell_length_c 4.4567
_cell_angle_alpha 90.00
_cell_angle_beta 90.00
_cell_angle_gamma 90.00
_symmetry_space_group_name_H-M 'P 1'
_symmetry_Int_Tables_number 1
loop_
_symmetry_equiv_pos_as_xyz
'x,y,z'
loop_
_atom_site_label
_atom_site_type_symbol
_atom_site_fract_x
_atom_site_fract_y
_atom_site_fract_z
_atom_site_occupancy
Ta1 Ta 0.1827 0.3173 0.0000 1
Ta2 Ta 0.3173 0.8173 0.0000 1
Ta3 Ta 0.6827 0.1827 0.0000 1
Ta4 Ta 0.8173 0.6827 0.0000 1
Cr1 Cr 0.1313 0.6313 0.5000 1
Cr2 Cr 0.3687 0.1313 0.5000 1
Cr3 Cr 0.6313 0.8687 0.5000 1
Cr4 Cr 0.8687 0.3687 0.5000 1
P1 P 0.0000 0.0000 0.5000 1
P2 P 0.5000 0.5000 0.5000 1
```


6.
A plane-wave DFT calculation with PBE was carried out for a relaxed Al7Zn2Mo2 crystal.

Values from the calculation:
Energy of formation from the pure elements = -0.182 eV per atom
Calculated volume = 16.0 A^3/atom

Structure (CIF):
```
data_Al7Zn2Mo2
_cell_length_a 5.3731
_cell_length_b 5.3731
_cell_length_c 6.6412
_cell_angle_alpha 102.54
_cell_angle_beta 102.54
_cell_angle_gamma 102.37
_symmetry_space_group_name_H-M 'P 1'
_symmetry_Int_Tables_number 1
loop_
_symmetry_equiv_pos_as_xyz
'x,y,z'
loop_
_atom_site_label
_atom_site_type_symbol
_atom_site_fract_x
_atom_site_fract_y
_atom_site_fract_z
_atom_site_occupancy
Al1 Al 0.0000 0.0000 0.0000 1
Al2 Al 0.1063 0.4919 0.8414 1
Al3 Al 0.1939 0.1939 0.4736 1
Al4 Al 0.4919 0.1063 0.8414 1
Al5 Al 0.5081 0.8937 0.1586 1
Al6 Al 0.8061 0.8061 0.5264 1
Al7 Al 0.8937 0.5081 0.1586 1
Zn1 Zn 0.2720 0.7280 0.5000 1
Zn2 Zn 0.7280 0.2720 0.5000 1
Mo1 Mo 0.3986 0.3986 0.1990 1
Mo2 Mo 0.6014 0.6014 0.8010 1
```


7.
A plane-wave DFT calculation with PBE was carried out for a relaxed Zr2Ti2Hg crystal.

Values from the calculation:
Energy of formation from the pure elements = -0.055 eV per atom
Calculated volume = 20.2 A^3/atom
Relative energy among the computed polymorphs = 0 meV per atom

Structure (CIF):
```
data_Zr2Ti2Hg
_cell_length_a 10.9787
_cell_length_b 10.9787
_cell_length_c 10.9787
_cell_angle_alpha 163.95
_cell_angle_beta 163.95
_cell_angle_gamma 22.77
_symmetry_space_group_name_H-M 'P 1'
_symmetry_Int_Tables_number 1
loop_
_symmetry_equiv_pos_as_xyz
'x,y,z'
loop_
_atom_site_label
_atom_site_type_symbol
_atom_site_fract_x
_atom_site_fract_y
_atom_site_fract_z
_atom_site_occupancy
Zr1 Zr 0.1076 0.1076 0.0000 1
Zr2 Zr 0.8924 0.8924 0.0000 1
Ti1 Ti 0.2936 0.2936 0.0000 1
Ti2 Ti 0.7064 0.7064 0.0000 1
Hg1 Hg 0.5000 0.5000 0.0000 1
```


8.
A plane-wave DFT calculation with PBE was carried out for a relaxed Pr6TlCd6 crystal.

Values from the calculation:
Energy of formation from the pure elements = -0.176 eV per atom
Calculated volume = 29.7 A^3/atom

Structure (CIF):
```
data_Pr6TlCd6
_cell_length_a 6.2216
_cell_length_b 6.2216
_cell_length_c 11.5343
_cell_angle_alpha 90.00
_cell_angle_beta 90.00
_cell_angle_gamma 120.00
_symmetry_space_group_name_H-M 'P 1'
_symmetry_Int_Tables_number 1
loop_
_symmetry_equiv_pos_as_xyz
'x,y,z'
loop_
_atom_site_label
_atom_site_type_symbol
_atom_site_fract_x
_atom_site_fract_y
_atom_site_fract_z
_atom_site_occupancy
Pr1 Pr 0.0000 0.0000 0.1602 1
Pr2 Pr 0.0000 0.0000 0.8398 1
Pr3 Pr 0.3333 0.6667 0.0000 1
Pr4 Pr 0.3333 0.6667 0.5000 1
Pr5 Pr 0.6667 0.3333 0.0000 1
Pr6 Pr 0.6667 0.3333 0.5000 1
Tl1 Tl 0.0000 0.0000 0.5000 1
Cd1 Cd 0.0000 0.5000 0.2561 1
Cd2 Cd 0.0000 0.5000 0.7439 1
Cd3 Cd 0.5000 0.0000 0.2561 1
Cd4 Cd 0.5000 0.0000 0.7439 1
Cd5 Cd 0.5000 0.5000 0.2561 1
Cd6 Cd 0.5000 0.5000 0.7439 1
```


9.
A plane-wave DFT calculation with PBE was carried out for a relaxed HoPa2Si3Ir4 crystal.

Values from the calculation:
Calculated volume = 18.3 A^3/atom
ΔE_f (raw) = -0.892 eV per atom

Structure (CIF):
```
data_HoPa2Si3Ir4
_cell_length_a 4.0276
_cell_length_b 4.0276
_cell_length_c 11.3044
_cell_angle_alpha 90.00
_cell_angle_beta 90.00
_cell_angle_gamma 90.00
_symmetry_space_group_name_H-M 'P 1'
_symmetry_Int_Tables_number 1
loop_
_symmetry_equiv_pos_as_xyz
'x,y,z'
loop_
_atom_site_label
_atom_site_type_symbol
_atom_site_fract_x
_atom_site_fract_y
_atom_site_fract_z
_atom_site_occupancy
Ho1 Ho 0.0000 0.0000 0.0000 1
Pa1 Pa 0.0000 0.5000 0.7258 1
Pa2 Pa 0.5000 0.0000 0.2742 1
Si1 Si 0.0000 0.5000 0.3809 1
Si2 Si 0.5000 0.0000 0.6191 1
Si3 Si 0.5000 0.5000 0.0000 1
Ir1 Ir 0.0000 0.0000 0.5000 1
Ir2 Ir 0.0000 0.5000 0.1705 1
Ir3 Ir 0.5000 0.0000 0.8295 1
Ir4 Ir 0.5000 0.5000 0.5000 1
```


10.
A plane-wave DFT calculation with PBE was carried out for a relaxed NbVMoPt crystal.

Values from the calculation:
Energy of formation from the pure elements = -0.200 eV per atom
Calculated volume = 15.9 A^3/atom

Structure (CIF):
```
data_NbVMoPt
_cell_length_a 4.4792
_cell_length_b 4.4792
_cell_length_c 4.4792
_cell_angle_alpha 60.00
_cell_angle_beta 60.00
_cell_angle_gamma 60.00
_symmetry_space_group_name_H-M 'P 1'
_symmetry_Int_Tables_number 1
loop_
_symmetry_equiv_pos_as_xyz
'x,y,z'
loop_
_atom_site_label
_atom_site_type_symbol
_atom_site_fract_x
_atom_site_fract_y
_atom_site_fract_z
_atom_site_occupancy
Nb1 Nb 0.0000 0.0000 0.0000 1
V1 V 0.5000 0.5000 0.5000 1
Mo1 Mo 0.2500 0.2500 0.2500 1
Pt1 Pt 0.7500 0.7500 0.7500 1
```


11.
A plane-wave DFT calculation with PBE was carried out for a relaxed Sc3Tc crystal.

Values from the calculation:
Energy of formation from the pure elements = 0.024 eV per atom
Calculated volume = 21.4 A^3/atom

Structure (CIF):
```
data_Sc3Tc
_cell_length_a 3.2466
_cell_length_b 3.2466
_cell_length_c 9.3624
_cell_angle_alpha 90.00
_cell_angle_beta 90.00
_cell_angle_gamma 120.00
_symmetry_space_group_name_H-M 'P 1'
_symmetry_Int_Tables_number 1
loop_
_symmetry_equiv_pos_as_xyz
'x,y,z'
loop_
_atom_site_label
_atom_site_type_symbol
_atom_site_fract_x
_atom_site_fract_y
_atom_site_fract_z
_atom_site_occupancy
Sc1 Sc 0.0000 0.0000 0.0000 1
Sc2 Sc 0.6667 0.3333 0.2922 1
Sc3 Sc 0.6667 0.3333 0.7078 1
Tc1 Tc 0.0000 0.0000 0.5000 1
```


12.
A plane-wave DFT calculation with PBE was carried out for a relaxed Fe2Ni2Pd7 crystal.

Values from the calculation:
Energy of formation from the pure elements = 0.127 eV per atom
Calculated volume = 15.0 A^3/atom
Relative energy among the computed polymorphs = 118 meV per atom

Structure (CIF):
```
data_Fe2Ni2Pd7
_cell_length_a 5.8395
_cell_length_b 5.8395
_cell_length_c 5.2435
_cell_angle_alpha 100.14
_cell_angle_beta 100.14
_cell_angle_gamma 104.92
_symmetry_space_group_name_H-M 'P 1'
_symmetry_Int_Tables_number 1
loop_
_symmetry_equiv_pos_as_xyz
'x,y,z'
loop_
_atom_site_label
_atom_site_type_symbol
_atom_site_fract_x
_atom_site_fract_y
_atom_site_fract_z
_atom_site_occupancy
Fe1 Fe 0.1466 0.8534 0.0000 1
Fe2 Fe 0.8534 0.1466 0.0000 1
Ni1 Ni 0.1211 0.1211 0.3879 1
Ni2 Ni 0.8789 0.8789 0.6121 1
Pd1 Pd 0.0787 0.5702 0.2941 1
Pd2 Pd 0.3019 0.3019 0.9433 1
Pd3 Pd 0.4298 0.9213 0.7059 1
Pd4 Pd 0.5000 0.5000 0.5000 1
Pd5 Pd 0.5702 0.0787 0.2941 1
Pd6 Pd 0.6981 0.6981 0.0567 1
Pd7 Pd 0.9213 0.4298 0.7059 1
```


The following DOS(E_F) values (in states/eV/cell) correspond, in order, to the records above: 2.459, 3.891, 2.148, 4.926, 7.677, 3.693, 6.222, 14.173, 6.113, 5.496, 3.984, 9.031.